RbAcZn2F8 (PBE, relaxed); SG = R32 (155); formation energy from raw total energies = -2.924 eV/atom; DOS at the Fermi energy = 0.00 states/eV/f.u.; calculated volume = 18.16 Å³/atom
1.0
2.766 1.597 8.220
-2.766 1.597 8.220
0.000 -3.194 8.220
Rb Ac Zn F
1 1 2 8
Direct
0.000 0.000 0.000
0.500 0.500 0.500
0.262 0.262 0.262
0.738 0.738 0.738
0.083 0.453 0.785
0.215 0.547 0.917
0.338 0.338 0.338
0.453 0.785 0.083
0.547 0.917 0.215
0.662 0.662 0.662
0.785 0.083 0.453
0.917 0.215 0.547



RbAcZnF6 (PBE, relaxed); SG = Imma (74); formation energy from raw total energies = -3.227 eV/atom; DOS at the Fermi energy = 0.00 states/eV/f.u.; calculated volume = 18.38 Å³/atom
1.0
-3.848 4.140 5.192
3.848 -4.140 5.192
3.848 4.140 -5.192
Rb Ac Zn F
2 2 2 12
Direct
0.326 0.076 0.250
0.674 0.924 0.750
0.000 0.500 0.500
0.500 0.500 0.000
0.000 0.000 0.500
0.000 0.500 0.000
0.043 0.338 0.150
0.043 0.892 0.704
0.087 0.337 0.750
0.312 0.108 0.650
0.312 0.662 0.204
0.378 0.628 0.750
0.622 0.372 0.250
0.688 0.338 0.796
0.688 0.892 0.350
0.913 0.663 0.250
0.957 0.108 0.296
0.957 0.662 0.850



Ac2RhF (PBE, relaxed); SG = P4/mmm (123); formation energy from raw total energies = -1.286 eV/atom; DOS at the Fermi energy = 3.04 states/eV/f.u.; calculated volume = 25.19 Å³/atom
1.0
3.624 0.000 0.000
0.000 3.624 0.000
0.000 0.000 7.675
Ac Rh F
2 1 1
Direct
0.000 0.000 0.238
0.000 0.000 0.762
0.500 0.500 0.000
0.500 0.500 0.500



AcRh2F11 (PBE, relaxed); SG = Ibam (72); formation energy from raw total energies = -2.229 eV/atom; DOS at the Fermi energy = 9.12 states/eV/f.u.; calculated volume = 16.01 Å³/atom
1.0
-4.516 4.527 5.481
4.516 -4.527 5.481
4.516 4.527 -5.481
Ac Rh F
2 4 22
Direct
0.250 0.250 0.000
0.750 0.750 0.000
0.157 0.656 0.813
0.343 0.156 0.500
0.657 0.844 0.500
0.843 0.344 0.187
0.000 0.500 0.500
0.073 0.357 0.176
0.102 0.926 0.283
0.143 0.426 0.824
0.181 0.898 0.824
0.199 0.301 0.500
0.301 0.801 0.103
0.319 0.143 0.716
0.357 0.181 0.283
0.398 0.681 0.824
0.427 0.602 0.284
0.500 0.000 0.500
0.573 0.398 0.716
0.602 0.319 0.176
0.643 0.819 0.717
0.681 0.857 0.284
0.699 0.199 0.897
0.801 0.699 0.500
0.819 0.102 0.176
0.857 0.574 0.176
0.898 0.074 0.717
0.927 0.643 0.824



Ac2RhF (PBE, relaxed); SG = R3m (160); formation energy from raw total energies = -1.635 eV/atom; DOS at the Fermi energy = 0.44 states/eV/f.u.; calculated volume = 31.97 Å³/atom
1.0
2.131 1.230 8.129
-2.131 1.230 8.129
0.000 -2.461 8.129
Ac Rh F
2 1 1
Direct
0.000 0.000 0.000
0.195 0.195 0.195
0.605 0.605 0.605
0.821 0.821 0.821



AcRh2F8 (PBE, relaxed); SG = C2/m (12); formation energy from raw total energies = -2.276 eV/atom; DOS at the Fermi energy = 1.33 states/eV/f.u.; calculated volume = 15.38 Å³/atom
1.0
4.934 -3.987 0.000
4.934 3.987 0.000
-0.839 0.000 4.299
Ac Rh F
1 2 8
Direct
0.000 0.000 0.000
0.380 0.380 0.722
0.620 0.620 0.278
0.131 0.636 0.742
0.170 0.170 0.668
0.364 0.869 0.258
0.405 0.405 0.232
0.595 0.595 0.768
0.636 0.131 0.742
0.830 0.830 0.332
0.869 0.364 0.258



Ac2RhF (PBE, relaxed); SG = R-3m (166); formation energy from raw total energies = -1.723 eV/atom; DOS at the Fermi energy = 1.86 states/eV/f.u.; calculated volume = 34.12 Å³/atom
1.0
2.209 1.275 8.074
-2.209 1.275 8.074
0.000 -2.551 8.074
Ac Rh F
2 1 1
Direct
0.101 0.101 0.101
0.899 0.899 0.899
0.500 0.500 0.500
0.000 0.000 0.000



AcRhF6 (PBE, relaxed); SG = R-3m (166); formation energy from raw total energies = -2.841 eV/atom; DOS at the Fermi energy = 0.00 states/eV/f.u.; calculated volume = 13.72 Å³/atom
1.0
3.645 2.104 2.386
-3.645 2.104 2.386
0.000 -4.208 2.386
Ac Rh F
1 1 6
Direct
0.000 0.000 0.000
0.500 0.500 0.500
0.198 0.198 0.559
0.198 0.559 0.198
0.441 0.802 0.802
0.559 0.198 0.198
0.802 0.441 0.802
0.802 0.802 0.441



AcRu2F11 (PBE, relaxed); SG = Ibam (72); formation energy from raw total energies = -2.382 eV/atom; DOS at the Fermi energy = 12.79 states/eV/f.u.; calculated volume = 16.17 Å³/atom
1.0
-4.533 4.547 5.493
4.533 -4.547 5.493
4.533 4.547 -5.493
Ac Ru F
2 4 22
Direct
0.250 0.250 0.000
0.750 0.750 0.000
0.158 0.658 0.816
0.342 0.158 0.500
0.658 0.842 0.500
0.842 0.342 0.184
0.000 0.500 0.500
0.071 0.355 0.173
0.102 0.929 0.284
0.145 0.429 0.827
0.182 0.898 0.827
0.198 0.302 0.500
0.302 0.802 0.104
0.318 0.145 0.716
0.355 0.182 0.284
0.398 0.682 0.827
0.429 0.602 0.284
0.500 0.000 0.500
0.571 0.398 0.716
0.602 0.318 0.173
0.645 0.818 0.716
0.682 0.855 0.284
0.698 0.198 0.896
0.802 0.698 0.500
0.818 0.102 0.173
0.855 0.571 0.173
0.898 0.071 0.716
0.929 0.645 0.827



AcRuF6 (PBE, relaxed); SG = C2/m (12); formation energy from raw total energies = -2.824 eV/atom; DOS at the Fermi energy = 8.43 states/eV/f.u.; calculated volume = 13.82 Å³/atom
1.0
3.169 -3.633 0.000
3.169 3.633 0.000
-0.970 0.000 4.803
Ac Ru F
1 1 6
Direct
0.000 0.000 0.000
0.500 0.500 0.500
0.197 0.561 0.197
0.199 0.199 0.565
0.439 0.803 0.803
0.561 0.197 0.197
0.801 0.801 0.435
0.803 0.439 0.803



AcRuF6 (PBE, relaxed); SG = R-3m (166); formation energy from raw total energies = -2.639 eV/atom; DOS at the Fermi energy = 7.70 states/eV/f.u.; calculated volume = 14.35 Å³/atom
1.0
2.498 1.442 5.310
-2.498 1.442 5.310
0.000 -2.884 5.310
Ac Ru F
1 1 6
Direct
0.000 0.000 0.000
0.500 0.500 0.500
0.078 0.581 0.581
0.419 0.419 0.922
0.419 0.922 0.419
0.581 0.078 0.581
0.581 0.581 0.078
0.922 0.419 0.419



Ac2RuF (PBE, relaxed); SG = R-3m (166); formation energy from raw total energies = -1.299 eV/atom; DOS at the Fermi energy = 2.68 states/eV/f.u.; calculated volume = 26.60 Å³/atom
1.0
2.127 1.228 6.788
-2.127 1.228 6.788
0.000 -2.456 6.788
Ac Ru F
2 1 1
Direct
0.247 0.247 0.247
0.753 0.753 0.753
0.500 0.500 0.500
0.000 0.000 0.000